Material: Re2NiSb
Method: DFT, PBE
State: relaxed

a b c (Å): 3.0924 4.7339 4.5160
angles (deg): 90.00 91.05 90.00
Fractional positions:
Re: 0.2289 0.0000 0.2877
Re: 0.7711 0.0000 0.7123
Ni: 0.5000 0.5000 0.5000
Sb: 0.0000 0.5000 0.0000

## Properties
raw formation energy: 547 meV per atom
crystal system: monoclinic
calculated volume: 66 Å³ per cell